<1>
A crystal of Mo2WAu relaxed with PBEsol, computed with meta-GGA SCAN.

Total magnetic moment   0.00 μB/cell
Mass density   15.12 g/cm³

```
Mo2WAu
1.0
9.373 0.000 0.000
0.000 2.654 0.000
-0.573 0.000 5.055
Mo W Au
4 2 2
Cartesian
0.000 0.000 0.000
1.868 0.000 3.782
4.686 1.327 0.000
6.555 1.327 3.782
4.329 0.000 2.508
9.016 1.327 2.508
2.165 1.327 1.249
6.851 0.000 1.249
```

<2>
A crystal of Mo2WAu relaxed with PBEsol, computed with meta-GGA SCAN.

Total magnetic moment   0.00 μB/cell
Mass density   15.06 g/cm³

```
Mo2WAu
1.0
2.660 0.000 0.000
0.000 2.660 0.000
0.000 0.000 8.925
Mo W Au
2 1 1
Cartesian
0.000 0.000 2.220
0.000 0.000 6.705
1.330 1.330 4.463
1.330 1.330 0.000
```

The structure with the most favorable energy is <2>; the runner-up is 2.9 kJ/mol of atoms above it.

<1>
A crystal of IrOsRu2 relaxed with PBEsol, computed with meta-GGA SCAN.

Total magnetic moment   0.00 μB/cell
Mass density   17.77 g/cm³

```
IrOsRu2
1.0
3.794 0.000 0.000
0.000 3.794 0.000
0.000 0.000 7.589
Ir Os Ru
2 2 4
Cartesian
0.000 0.000 0.000
1.897 1.897 3.795
0.000 1.897 1.897
1.897 0.000 5.692
0.000 0.000 3.795
0.000 1.897 5.692
1.897 0.000 1.897
1.897 1.897 0.000
```

<2>
A crystal of IrOsRu2 relaxed with PBEsol, computed with meta-GGA SCAN.

Total magnetic moment   0.00 μB/cell
Mass density   17.77 g/cm³

```
IrOsRu2
1.0
4.652 0.000 0.000
0.000 2.679 0.000
-1.565 0.000 4.384
Ir Os Ru
1 1 2
Cartesian
0.000 0.000 0.000
-0.783 1.339 2.192
1.543 0.000 2.192
2.326 1.339 0.000
```

The structure with the most favorable energy is <1>; the runner-up is 0.5 kJ/mol of atoms above it.

<1>
A crystal of OsRh2 relaxed with PBEsol, computed with meta-GGA SCAN.

Total magnetic moment   0.00 μB/cell
Mass density   16.10 g/cm³

```
OsRh2
1.0
9.820 0.000 0.000
0.000 2.697 0.000
-1.568 0.000 6.170
Os Rh
4 8
Cartesian
-0.211 0.000 1.888
3.553 1.349 4.282
4.699 1.349 1.888
8.463 0.000 4.282
1.287 1.349 0.169
0.873 1.349 3.920
2.469 0.000 2.250
2.055 0.000 6.001
6.197 0.000 0.169
5.783 0.000 3.920
7.379 1.349 2.250
6.965 1.349 6.001
```

<2>
A crystal of OsRh2 relaxed with PBEsol, computed with meta-GGA SCAN.

Total magnetic moment   0.00 μB/cell
Mass density   16.15 g/cm³

```
OsRh2
1.0
2.679 0.000 0.000
0.000 3.789 0.000
0.000 0.000 8.022
Os Rh
2 4
Cartesian
0.000 0.000 0.000
1.340 1.895 4.011
0.000 0.000 2.696
0.000 0.000 5.326
1.340 1.895 1.315
1.340 1.895 6.707
```

The structure with the most favorable energy is <2>; the runner-up is 1.3 kJ/mol of atoms above it.

<1>
A crystal of YCd2Cl relaxed with PBEsol, computed with meta-GGA SCAN.

Total magnetic moment   0.00 μB/cell
Mass density   6.49 g/cm³

```
YCd2Cl
1.0
3.962 0.000 0.000
0.000 3.962 0.000
0.000 0.000 11.382
Y Cd Cl
2 4 2
Cartesian
0.000 0.000 0.000
1.981 1.981 5.691
0.000 1.981 2.845
0.000 1.981 8.536
1.981 0.000 2.845
1.981 0.000 8.536
0.000 0.000 5.691
1.981 1.981 0.000
```

<2>
A crystal of YCd2Cl relaxed with PBEsol, computed with meta-GGA SCAN.

Total magnetic moment   0.00 μB/cell
Mass density   5.98 g/cm³

```
YCd2Cl
1.0
3.428 0.000 0.000
0.000 5.097 0.000
0.000 0.000 5.550
Y Cd Cl
1 2 1
Cartesian
0.000 0.000 0.000
1.714 0.000 2.808
1.714 2.549 3.955
0.000 2.549 0.829
```

The structure with the most favorable energy is <2>; the runner-up is 3.4 kJ/mol of atoms above it.